1.
A relaxed La2SnTe crystal, computed with PBE.

Summary:
formation energy without anion corrections	-1075	meV/atom
DOS(E_F)	0.8669	states/eV per atom

a b c (Å): 3.8053 3.8053 8.4707
angles (deg): 90.00 90.00 90.00
Fractional coordinates of all 4 atoms:
1 Te 0.5000 0.5000 0.0000
2 Sn 0.5000 0.5000 0.5000
3 La 0.0000 0.0000 0.7575
4 La 0.0000 0.0000 0.2425

2.
A relaxed LaSn2Te2 crystal, computed with PBE.

Summary:
formation energy without anion corrections	-537	meV/atom
DOS(E_F)	0.9163	states/eV per atom

a b c (Å): 8.5664 8.5664 4.4506
angles (deg): 90.00 90.00 90.00
Fractional coordinates of all 10 atoms:
1 Te 0.3457 0.8457 0.0000
2 Te 0.8457 0.6543 0.0000
3 Te 0.6543 0.1543 0.0000
4 Te 0.1543 0.3457 0.0000
5 Sn 0.1785 0.6785 0.5000
6 Sn 0.6785 0.8215 0.5000
7 Sn 0.8215 0.3215 0.5000
8 Sn 0.3215 0.1785 0.5000
9 La 0.0000 0.0000 0.0000
10 La 0.5000 0.5000 0.0000

3.
A relaxed La2SnTe2 crystal, computed with PBE.

Summary:
formation energy without anion corrections	-1105	meV/atom
DOS(E_F)	0.8862	states/eV per atom

a b c (Å): 8.8240 8.8240 4.2185
angles (deg): 90.00 90.00 90.00
Fractional coordinates of all 10 atoms:
1 Te 0.1425 0.6425 0.5000
2 Te 0.6425 0.8575 0.5000
3 Te 0.8575 0.3575 0.5000
4 Te 0.3575 0.1425 0.5000
5 Sn 0.0000 0.0000 0.0000
6 Sn 0.5000 0.5000 0.0000
7 La 0.3394 0.8394 0.0000
8 La 0.8394 0.6606 0.0000
9 La 0.6606 0.1606 0.0000
10 La 0.1606 0.3394 0.0000

4.
A relaxed LaSn6Te8 crystal, computed with PBE.

Summary:
formation energy without anion corrections	-382	meV/atom
DOS(E_F)	0.3949	states/eV per atom

a b c (Å): 4.8422 11.1205 11.1205
angles (deg): 120.00 90.00 90.00
Fractional coordinates of all 15 atoms:
1 La 0.5000 0.0000 0.0000
2 Sn 0.6726 0.6640 0.1224
3 Sn 0.6726 0.8776 0.5416
4 Sn 0.6726 0.4584 0.3360
5 Sn 0.3274 0.3360 0.8776
6 Sn 0.3274 0.1224 0.4584
7 Sn 0.3274 0.5416 0.6640
8 Te 0.7770 0.9664 0.2547
9 Te 0.7770 0.7453 0.7116
10 Te 0.7770 0.2884 0.0336
11 Te 0.2230 0.0336 0.7453
12 Te 0.2230 0.2547 0.2884
13 Te 0.2230 0.7116 0.9664
14 Te 0.7411 0.3333 0.6667
15 Te 0.2589 0.6667 0.3333

5.
A relaxed La2SnTe5 crystal, computed with PBE.

Summary:
formation energy without anion corrections	-937	meV/atom

a b c (Å): 6.4490 8.4972 14.1706
angles (deg): 90.00 90.00 112.30
Fractional coordinates of all 16 atoms:
1 La 0.8295 0.6591 0.4247
2 La 0.8295 0.6591 0.0753
3 La 0.1705 0.3409 0.5753
4 La 0.1705 0.3409 0.9247
5 Sn 0.8096 0.6192 0.7500
6 Sn 0.1904 0.3808 0.2500
7 Te 0.9677 0.9354 0.9050
8 Te 0.9677 0.9354 0.5950
9 Te 0.3123 0.6245 0.4113
10 Te 0.3123 0.6245 0.0887
11 Te 0.7054 0.4107 0.2500
12 Te 0.2946 0.5893 0.7500
13 Te 0.6878 0.3755 0.5887
14 Te 0.6878 0.3755 0.9113
15 Te 0.0323 0.0646 0.0950
16 Te 0.0323 0.0646 0.4050

6.
A relaxed La2SnTe crystal, computed with PBE.

Summary:
formation energy without anion corrections	-1212	meV/atom
DOS(E_F)	0.3410	states/eV per atom

a b c (Å): 8.0458 8.0130 10.3201
angles (deg): 104.95 105.08 109.52
Fractional coordinates of all 16 atoms:
1 La 0.1779 0.4335 0.3746
2 La 0.5650 0.3097 0.1247
3 La 0.0598 0.8150 0.1247
4 La 0.3033 0.0588 0.6254
5 La 0.6967 0.9412 0.3746
6 La 0.9402 0.1850 0.8753
7 La 0.4350 0.6903 0.8753
8 La 0.8221 0.5665 0.6254
9 Sn 0.1897 0.9397 0.8793
10 Sn 0.9353 0.6853 0.3706
11 Sn 0.0647 0.3147 0.6294
12 Sn 0.8103 0.0603 0.1207
13 Te 0.5607 0.8107 0.6214
14 Te 0.6858 0.4357 0.8715
15 Te 0.3142 0.5643 0.1285
16 Te 0.4393 0.1893 0.3786

7.
A relaxed LaSn2Te crystal, computed with PBE.

Summary:
formation energy without anion corrections	-359	meV/atom
DOS(E_F)	1.0768	states/eV per atom

a b c (Å): 8.9331 8.9331 7.0749
angles (deg): 50.85 50.85 90.00
Fractional coordinates of all 8 atoms:
1 Te 0.5000 0.5000 0.0000
2 Te 0.2500 0.7500 0.5000
3 Sn 0.6097 0.1250 0.2500
4 Sn 0.1403 0.6250 0.2500
5 Sn 0.3750 0.3903 0.7500
6 Sn 0.8750 0.8597 0.7500
7 La 0.0000 0.0000 0.0000
8 La 0.7500 0.2500 0.5000

8.
A relaxed LaSn5Te7 crystal, computed with PBE.

Summary:
formation energy without anion corrections	-506	meV/atom
DOS(E_F)	0.5201	states/eV per atom

a b c (Å): 4.4564 7.8157 26.2341
angles (deg): 89.96 90.00 106.56
Fractional coordinates of all 26 atoms:
1 La 0.7949 0.5898 0.2586
2 La 0.2060 0.4121 0.7590
3 Sn 0.0073 0.0146 0.0027
4 Sn 0.7382 0.4763 0.9257
5 Sn 0.2827 0.5653 0.0740
6 Sn 0.5298 0.0595 0.3525
7 Sn 0.4463 0.8926 0.6475
8 Sn 0.9928 0.9856 0.5022
9 Sn 0.2627 0.5254 0.4255
10 Sn 0.7175 0.4350 0.5740
11 Sn 0.4715 0.9430 0.8523
12 Sn 0.5538 0.1077 0.1476
13 Te 0.4475 0.8950 0.2477
14 Te 0.5535 0.1070 0.7475
15 Te 0.6461 0.2922 0.0374
16 Te 0.3742 0.7484 0.9633
17 Te 0.3542 0.7085 0.5374
18 Te 0.6266 0.2532 0.4632
19 Te 0.1982 0.3964 0.1805
20 Te 0.8278 0.6555 0.8219
21 Te 0.8019 0.6039 0.6805
22 Te 0.1734 0.3468 0.3218
23 Te 0.9190 0.8380 0.1087
24 Te 0.1136 0.2272 0.8804
25 Te 0.0807 0.1614 0.6081
26 Te 0.8873 0.7746 0.3801

9.
A relaxed La2SnTe crystal, computed with PBE.

Summary:
formation energy without anion corrections	-1201	meV/atom
DOS(E_F)	0.4082	states/eV per atom

a b c (Å): 4.6331 4.6331 8.0254
angles (deg): 73.22 73.22 60.00
Fractional coordinates of all 4 atoms:
1 Te 0.5000 0.5000 0.5000
2 Sn 0.0000 0.0000 0.0000
3 La 0.2531 0.2531 0.2407
4 La 0.7469 0.7469 0.7593

10.
A relaxed LaSn2Te4 crystal, computed with PBE.

Summary:
formation energy without anion corrections	-676	meV/atom
DOS(E_F)	0.4506	states/eV per atom

a b c (Å): 4.4660 7.6801 14.5694
angles (deg): 90.00 90.00 106.90
Fractional coordinates of all 14 atoms:
1 La 0.6006 0.2011 0.7500
2 La 0.3994 0.7989 0.2500
3 Sn 0.1353 0.2706 0.4409
4 Sn 0.8647 0.7294 0.9409
5 Sn 0.1353 0.2706 0.0591
6 Sn 0.8647 0.7294 0.5591
7 Te 0.7794 0.5588 0.1316
8 Te 0.7794 0.5588 0.3684
9 Te 0.2206 0.4412 0.8684
10 Te 0.2206 0.4412 0.6316
11 Te 0.9442 0.8885 0.7500
12 Te 0.0558 0.1115 0.2500
13 Te 0.5000 0.0000 0.0000
14 Te 0.5000 0.0000 0.5000

11.
A relaxed LaSnTe2 crystal, computed with PBE.

Summary:
formation energy without anion corrections	-835	meV/atom
DOS(E_F)	0.4298	states/eV per atom

a b c (Å): 5.0051 4.2288 12.7205
angles (deg): 99.57 90.00 90.00
Fractional coordinates of all 8 atoms:
1 La 0.2500 0.4429 0.8858
2 La 0.7500 0.5571 0.1142
3 Sn 0.2500 0.1884 0.3769
4 Sn 0.7500 0.8116 0.6231
5 Te 0.7500 0.6864 0.3728
6 Te 0.2500 0.3136 0.6272
7 Te 0.7500 0.9423 0.8846
8 Te 0.2500 0.0577 0.1154